1.
First-principles (PBE) data for crystalline YHoEr5Tm2 at its relaxed geometry, as listed in Alexandria.

Total moment, μB/f.u.: 0.00
N(E_F), states/eV/atom: 1.660
Energy, eV per atom: -4.588
Theoretical density, g/cm³: 8.3
Space group: Cmc2_1
Crystal system: orthorhombic

```
data_YHoEr5Tm2
_chemical_formula_sum 'Y2 Ho2 Er10 Tm4'
_cell_length_a 5.538
_cell_length_b 10.217
_cell_length_c 10.459
_cell_angle_alpha 90.00
_cell_angle_beta 90.00
_cell_angle_gamma 105.72
_space_group_name_H-M_alt 'P 1'
_space_group_IT_number 1
loop_
_space_group_symop_operation_xyz
'x,y,z'
loop_
_atom_site_label
_atom_site_fract_x
_atom_site_fract_y
_atom_site_fract_z
Y1 0.587 0.174 0.954
Y2 0.413 0.826 0.454
Ho1 0.801 0.601 0.512
Ho2 0.199 0.399 0.012
Er1 0.390 0.780 0.023
Er2 0.719 0.439 0.809
Er3 0.479 0.957 0.738
Er4 0.300 0.601 0.709
Er5 0.982 0.965 0.524
Er6 0.610 0.220 0.523
Er7 0.281 0.561 0.309
Er8 0.521 0.043 0.238
Er9 0.700 0.399 0.209
Er10 0.018 0.035 0.024
Tm1 0.887 0.775 0.817
Tm2 0.110 0.220 0.738
Tm3 0.113 0.225 0.317
Tm4 0.890 0.780 0.238
```

---

2.
First-principles (PBE) data for crystalline YHo4Er2Tm2 at its relaxed geometry, as listed in Alexandria.

Total moment, μB/f.u.: 0.00
N(E_F), states/eV/atom: 1.408
Energy, eV per atom: -4.757
Theoretical density, g/cm³: 8.5
Space group: C2/m
Crystal system: monoclinic

```
data_YHo4Er2Tm2
_chemical_formula_sum 'Y1 Ho4 Er2 Tm2'
_cell_length_a 3.554
_cell_length_b 9.399
_cell_length_c 9.415
_cell_angle_alpha 115.30
_cell_angle_beta 90.00
_cell_angle_gamma 100.90
_space_group_name_H-M_alt 'P 1'
_space_group_IT_number 1
loop_
_space_group_symop_operation_xyz
'x,y,z'
loop_
_atom_site_label
_atom_site_fract_x
_atom_site_fract_y
_atom_site_fract_z
Y1 0.000 0.000 0.000
Ho1 0.814 0.629 0.666
Ho2 0.186 0.371 0.334
Ho3 0.519 0.038 0.336
Ho4 0.481 0.962 0.664
Er1 0.852 0.704 0.333
Er2 0.148 0.296 0.667
Tm1 0.333 0.665 0.000
Tm2 0.667 0.335 0.000
```

---

3.
First-principles (PBE) data for crystalline Y3HoEr2Tm6 at its relaxed geometry, as listed in Alexandria.

Total moment, μB/f.u.: 0.00
N(E_F), states/eV/atom: 1.463
Energy, eV per atom: -4.966
Theoretical density, g/cm³: 8.0
Space group: C2/m
Crystal system: monoclinic

```
data_Y3HoEr2Tm6
_chemical_formula_sum 'Y3 Ho1 Er2 Tm6'
_cell_length_a 6.083
_cell_length_b 6.083
_cell_length_c 11.652
_cell_angle_alpha 94.99
_cell_angle_beta 94.99
_cell_angle_gamma 119.93
_space_group_name_H-M_alt 'P 1'
_space_group_IT_number 1
loop_
_space_group_symop_operation_xyz
'x,y,z'
loop_
_atom_site_label
_atom_site_fract_x
_atom_site_fract_y
_atom_site_fract_z
Y1 0.167 0.833 0.500
Y2 0.833 0.167 0.500
Y3 0.500 0.500 0.500
Ho1 0.000 0.000 0.000
Er1 0.333 0.667 0.000
Er2 0.667 0.333 0.000
Tm1 0.917 0.584 0.752
Tm2 0.749 0.749 0.248
Tm3 0.083 0.416 0.248
Tm4 0.584 0.917 0.752
Tm5 0.251 0.251 0.752
Tm6 0.416 0.083 0.248
```

---

Question: Among the records above, which one has the highest energy?
Answer: YHoEr5Tm2

---

Question: The highest N(E_F) belongs to which entry?
Answer: YHoEr5Tm2

---

Question: Among the records above, which one has the highest N(E_F)?
Answer: YHoEr5Tm2

---

Question: Number 1 is which compound?
Answer: YHoEr5Tm2